DFT (PBE) results for crystalline KBPdO4 at its relaxed geometry.

Cell lengths 6.658, 9.531, 6.211 Å; angles 90.00, 90.00, 90.00 degrees
Space group Cmcm (No. 63)
One atom of each set of equivalent atoms:
K (0.000, 0.000, 0.000)
B (0.000, 0.388, 0.250)
Pd (0.000, 0.342, 0.750)
O (0.000, 0.296, 0.059)
O (0.174, 0.484, 0.250)

Formation energy from raw total energies, eV/atom: -1.14